[1]
Compound: LaTeRh2C
Source: Alexandria
Functional: PBE
Structure: optimized geometry

Lattice parameters (Å, degrees): 4.7742 4.7742 6.1132 90.00 90.00 90.00
Last column: nearest neighbours and their distance in Å.
Fractional positions:
La  0.0000  0.0000  0.0000  2 Te 3.06, 4 C 3.38
Te  0.0000  0.0000  0.5000  4 Rh 2.39
Rh  0.0000  0.5000  0.5000  2 Te 2.39
Rh  0.5000  0.0000  0.5000  2 Te 2.39
C  0.5000  0.5000  0.0000  4 La 3.38

Values from the calculation:
volume	27.87	A^3/atom
spin magnetization	0.292	μB/atom
mass density	5.77	g cm⁻³
crystal system	tetragonal
ΔE_f (raw)	1432	meV per atom
space-group type	P4/mmm (123)

[2]
Compound: Ho4GeSb2As
Source: Alexandria
Functional: PBE
Structure: optimized geometry

Lattice parameters (Å, degrees): 7.3305 4.2037 7.4058 90.00 109.06 90.00
Last column: nearest neighbours and their distance in Å.
Fractional positions:
Ho  0.2435  0.0000  0.2300  2 As 2.92, 1 Ge 2.92, 3 Sb 3.08-3.09
Ho  0.2556  0.5000  0.7685  1 As 2.92, 2 Ge 2.93, 3 Sb 3.07-3.08
Ho  0.7444  0.5000  0.2315  1 As 2.92, 2 Ge 2.93, 3 Sb 3.07-3.08
Ho  0.7565  0.0000  0.7700  2 As 2.92, 1 Ge 2.92, 3 Sb 3.08-3.09
Ge  0.5000  0.0000  0.0000  6 Ho 2.92-2.93
Sb  0.0000  0.0000  0.5000  6 Ho 3.07-3.09
Sb  0.5000  0.5000  0.5000  6 Ho 3.08
As  0.0000  0.5000  0.0000  6 Ho 2.92

Values from the calculation:
volume	26.96	A^3/atom
spin magnetization	0.000	μB/atom
mass density	8.09	g cm⁻³
crystal system	monoclinic
ΔE_f (raw)	-1092	meV per atom
space-group type	P2/m (10)

[3]
Compound: YHfAgOs
Source: Alexandria
Functional: PBE
Structure: optimized geometry

Lattice parameters (Å, degrees): 4.8266 4.8266 4.8266 60.00 60.00 60.00
Last column: nearest neighbours and their distance in Å.
Fractional positions:
Y  0.0000  0.0000  0.0000  4 Os 2.96, 4 Ag 2.96
Hf  0.5000  0.5000  0.5000  4 Os 2.96, 4 Ag 2.96
Ag  0.2500  0.2500  0.2500  4 Hf 2.96, 4 Y 2.96
Os  0.7500  0.7500  0.7500  4 Hf 2.96, 4 Y 2.96

Values from the calculation:
volume	19.88	A^3/atom
spin magnetization	0.000	μB/atom
mass density	11.81	g cm⁻³
crystal system	cubic
VASP energy	-7.85	eV/atom
space-group type	F-43m (216)

[4]
Compound: SrErMgHg
Source: Alexandria
Functional: PBE
Structure: optimized geometry

Lattice parameters (Å, degrees): 5.4883 5.4883 5.4883 60.00 60.00 60.00
Last column: nearest neighbours and their distance in Å.
Fractional positions:
Sr  0.0000  0.0000  0.0000  4 Hg 3.36, 4 Mg 3.36
Er  0.5000  0.5000  0.5000  4 Hg 3.36, 4 Mg 3.36
Mg  0.2500  0.2500  0.2500  4 Er 3.36, 4 Sr 3.36
Hg  0.7500  0.7500  0.7500  4 Sr 3.36, 4 Er 3.36

Values from the calculation:
volume	29.22	A^3/atom
spin magnetization	0.000	μB/atom
mass density	6.82	g cm⁻³
crystal system	cubic
VASP energy	-2.23	eV/atom
space-group type	F-43m (216)

[5]
Compound: LiCaTm2Se4
Source: Alexandria
Functional: PBE
Structure: optimized geometry

Lattice parameters (Å, degrees): 6.9712 4.0410 7.1003 90.00 109.15 90.00
Last column: nearest neighbours and their distance in Å.
Fractional positions:
Li  0.0000  0.0000  0.0000  6 Se 2.85-2.87
Ca  0.5000  0.5000  0.0000  6 Se 2.91
Tm  0.0000  0.5000  0.5000  6 Se 2.82-2.83
Tm  0.5000  0.0000  0.5000  6 Se 2.87-2.88
Se  0.2423  0.0000  0.7446  3 Tm 2.83-2.88, 1 Li 2.85, 2 Ca 2.91
Se  0.2467  0.5000  0.2541  3 Tm 2.82-2.87, 2 Li 2.87, 1 Ca 2.91
Se  0.7532  0.5000  0.7459  3 Tm 2.82-2.87, 2 Li 2.87, 1 Ca 2.91
Se  0.7577  0.0000  0.2554  3 Tm 2.83-2.88, 1 Li 2.85, 2 Ca 2.91

Values from the calculation:
volume	23.62	A^3/atom
spin magnetization	0.000	μB/atom
mass density	6.16	g cm⁻³
crystal system	monoclinic
ΔE_f (raw)	-1773	meV per atom
space-group type	P2/m (10)

[6]
Compound: HfIO2
Source: Alexandria
Functional: PBE
Structure: optimized geometry

Lattice parameters (Å, degrees): 6.3811 6.3811 6.3811 60.00 60.00 60.00
Last column: nearest neighbours and their distance in Å.
Fractional positions:
Hf  0.1250  0.1250  0.1250  4 O 1.95
Hf  0.8750  0.8750  0.8750  4 O 1.95
I  0.3750  0.3750  0.3750  12 O 3.74, 4 I 3.91, 4 Hf 3.91
I  0.6250  0.6250  0.6250  12 O 3.74, 4 Hf 3.91, 4 I 3.91
O  0.0000  0.0000  0.0000  2 Hf 1.95
O  0.0000  0.0000  0.5000  2 Hf 1.95
O  0.0000  0.5000  0.0000  2 Hf 1.95
O  0.5000  0.0000  0.0000  2 Hf 1.95

Values from the calculation:
volume	22.97	A^3/atom
spin magnetization	0.250	μB/atom
mass density	6.10	g cm⁻³
crystal system	cubic
ΔE_f (raw)	-2271	meV per atom
space-group type	Fd-3m (227)

[7]
Compound: Nd2Sm3Tm6
Source: Alexandria
Functional: PBE
Structure: optimized geometry

Lattice parameters (Å, degrees): 16.8645 16.8645 16.8645 163.85 163.85 22.91
Last column: nearest neighbours and their distance in Å.
Fractional positions:
Nd  0.0465  0.0465  0.0000  1 Nd 3.07, 4 Tm 3.43
Nd  0.9535  0.9535  0.0000  1 Nd 3.07, 4 Tm 3.43
Sm  0.2960  0.2960  0.0000  9 Tm 3.37-3.61
Sm  0.5000  0.5000  0.0000  8 Nd 3.69
Sm  0.7040  0.7040  0.0000  9 Tm 3.37-3.61
Tm  0.1216  0.6216  0.5000  6 Tm 3.33-3.35, 2 Nd 3.43, 2 Sm 3.61
Tm  0.1925  0.1925  0.0000  4 Tm 3.33, 5 Sm 3.37-3.42
Tm  0.3784  0.8784  0.5000  6 Tm 3.33-3.35, 2 Nd 3.43, 2 Sm 3.61
Tm  0.6216  0.1216  0.5000  6 Tm 3.33-3.35, 2 Nd 3.43, 2 Sm 3.61
Tm  0.8075  0.8075  0.0000  4 Tm 3.33, 5 Sm 3.37-3.42
Tm  0.8784  0.3784  0.5000  6 Tm 3.33-3.35, 2 Nd 3.43, 2 Sm 3.61

Values from the calculation:
volume	33.72	A^3/atom
spin magnetization	0.000	μB/atom
mass density	7.85	g cm⁻³
crystal system	tetragonal
space-group type	I4/mmm (139)
energy relative to the lowest polymorph listed for this composition	0.839	eV/f.u.

[8]
Compound: OsPbI2O
Source: Alexandria
Functional: PBE
Structure: optimized geometry

Lattice parameters (Å, degrees): 5.9830 5.9830 4.0873 90.00 90.00 90.00
Last column: nearest neighbours and their distance in Å.
Fractional positions:
Os  0.0000  0.0000  0.0000  8 I 3.62
Pb  0.5000  0.5000  0.5000  2 O 2.04
I  0.0000  0.5000  0.5000  2 Pb 2.99
I  0.5000  0.0000  0.5000  2 Pb 2.99
O  0.5000  0.5000  0.0000  2 Pb 2.04

Values from the calculation:
volume	29.26	A^3/atom
spin magnetization	0.845	μB/atom
mass density	7.57	g cm⁻³
crystal system	tetragonal
ΔE_f (raw)	1163	meV per atom
space-group type	P4/mmm (123)
energy relative to the lowest polymorph listed for this composition	6.007	eV/f.u.